## P
Material: NaMn3Ir
Method: DFT, PBE
State: optimized geometry

Lattice parameters (Å, degrees): 4.1168 4.1168 4.1168 90.00 90.00 90.00
Last column: nearest neighbours and their distance in Å.
Space group Pm-3m (No. 221)
Asymmetric unit:
Na: 0.0000 0.0000 0.0000 (multiplicity 1)  6 Mn 2.06
Mn: 0.0000 0.0000 0.5000 (multiplicity 3)  2 Na 2.06
Ir: 0.5000 0.5000 0.5000 (multiplicity 1)  12 Mn 2.91

Summary:
Total moment: 0.0 μB/f.u.
Theoretical density: 9.04 g/cm³
Density of states at the Fermi level: 1.64 states/eV per atom

## Q
Material: NaMn3Ir
Method: DFT, PBE
State: optimized geometry

Lattice parameters (Å, degrees): 4.9400 4.9400 4.9400 90.00 90.00 90.00
Last column: nearest neighbours and their distance in Å.
Space group Pm-3m (No. 221)
Asymmetric unit:
Na: 0.0000 0.0000 0.0000 (multiplicity 1)  12 Mn 3.49
Mn: 0.0000 0.5000 0.5000 (multiplicity 3)  2 Ir 2.47
Ir: 0.5000 0.5000 0.5000 (multiplicity 1)  6 Mn 2.47

Summary:
Total moment: 13.5 μB/f.u.
Theoretical density: 5.23 g/cm³
Density of states at the Fermi level: 0.59 states/eV per atom

Most stable structure - Q; separation to the second - 1767 meV/atom.

## P
Material: NaMnIr2
Method: DFT, PBE
State: optimized geometry

Lattice parameters (Å, degrees): 6.1358 6.1358 6.1358 90.00 90.00 90.00
Last column: nearest neighbours and their distance in Å.
Space group Fm-3m (No. 225)
Asymmetric unit:
Na: 0.0000 0.0000 0.0000 (multiplicity 4)  8 Ir 2.66
Mn: 0.0000 0.0000 0.5000 (multiplicity 4)  8 Ir 2.66
Ir: 0.2500 0.2500 0.2500 (multiplicity 8)  4 Mn 2.66, 4 Na 2.66

Summary:
Total moment: 2.5 μB/f.u.
Theoretical density: 13.29 g/cm³
Density of states at the Fermi level: 1.29 states/eV per atom

## Q
Material: NaMnIr2
Method: DFT, PBE
State: optimized geometry

Lattice parameters (Å, degrees): 7.2690 7.2690 5.1075 90.00 90.00 90.00
Last column: nearest neighbours and their distance in Å.
Space group I-42d (No. 122)
Asymmetric unit:
Na: 0.0000 0.0000 0.0000 (multiplicity 4)  2 Mn 2.55
Mn: 0.0000 0.0000 0.5000 (multiplicity 4)  4 Ir 2.39, 2 Na 2.55
Ir: 0.1942 0.2500 0.6250 (multiplicity 8)  2 Mn 2.39

Summary:
Total moment: 2.4 μB/f.u.
Theoretical density: 11.38 g/cm³
Density of states at the Fermi level: 0.78 states/eV per atom

Most stable structure - P; separation to the second - 193 meV/atom.

## P
Material: Mn2NbIr
Method: DFT, PBE
State: optimized geometry

Lattice parameters (Å, degrees): 3.9995 3.9995 3.5881 90.00 90.00 90.00
Last column: nearest neighbours and their distance in Å.
Space group P4/mmm (No. 123)
Asymmetric unit:
Mn: 0.0000 0.5000 0.0000 (multiplicity 2)  4 Ir 2.69, 4 Nb 2.69, 4 Mn 2.83
Nb: 0.0000 0.0000 0.5000 (multiplicity 1)  8 Mn 2.69, 4 Ir 2.83
Ir: 0.5000 0.5000 0.5000 (multiplicity 1)  8 Mn 2.69, 4 Nb 2.83

Summary:
Total moment: 4.6 μB/f.u.
Theoretical density: 11.43 g/cm³
Density of states at the Fermi level: 0.82 states/eV per atom

## Q
Material: Mn2NbIr
Method: DFT, PBE
State: optimized geometry

Lattice parameters (Å, degrees): 3.6484 3.6484 18.5936 90.00 90.00 90.00
Last column: nearest neighbours and their distance in Å.
Space group I-42d (No. 122)
Asymmetric unit:
Mn: 0.1603 0.2500 0.1250 (multiplicity 8)  2 Mn 2.17
Nb: 0.0000 0.0000 0.5000 (multiplicity 4)  4 Ir 2.58, 4 Mn 2.79
Ir: 0.0000 0.0000 0.0000 (multiplicity 4)  4 Mn 2.56, 4 Nb 2.58

Summary:
Total moment: 0.0 μB/f.u.
Theoretical density: 10.60 g/cm³
Density of states at the Fermi level: 1.32 states/eV per atom

Most stable structure - P; separation to the second - 648 meV/atom.

## P
Material: MnNb3Ir
Method: DFT, PBE
State: optimized geometry

Lattice parameters (Å, degrees): 4.8223 4.8223 4.8223 90.00 90.00 90.00
Last column: nearest neighbours and their distance in Å.
Space group Pm-3m (No. 221)
Asymmetric unit:
Mn: 0.0000 0.0000 0.0000 (multiplicity 1)  12 Nb 3.41
Nb: 0.0000 0.5000 0.5000 (multiplicity 3)  2 Ir 2.41
Ir: 0.5000 0.5000 0.5000 (multiplicity 1)  6 Nb 2.41

Summary:
Total moment: 0.0 μB/f.u.
Theoretical density: 7.79 g/cm³
Density of states at the Fermi level: 2.04 states/eV per atom

## Q
Material: MnNb3Ir
Method: DFT, PBE
State: optimized geometry

Lattice parameters (Å, degrees): 4.5046 4.5046 4.5046 90.00 90.00 90.00
Last column: nearest neighbours and their distance in Å.
Space group Pm-3m (No. 221)
Asymmetric unit:
Mn: 0.0000 0.0000 0.0000 (multiplicity 1)  6 Nb 2.25
Nb: 0.0000 0.0000 0.5000 (multiplicity 3)  2 Mn 2.25
Ir: 0.5000 0.5000 0.5000 (multiplicity 1)  12 Nb 3.19

Summary:
Total moment: 0.0 μB/f.u.
Theoretical density: 9.55 g/cm³
Density of states at the Fermi level: 1.23 states/eV per atom

Most stable structure - Q; separation to the second - 732 meV/atom.